CePm2Al | PBE | optimized geometry

a = 7.6273 Å, b = 7.6273 Å, c = 7.6273 Å
α = 90.00°, β = 90.00°, γ = 90.00°
Closest atoms and distances in Å follow each position.
Space group Fm-3m (No. 225)
Asymmetric unit:
Ce: 0.0000 0.0000 0.0000 [4 per cell]  8 Pm 3.30
Pm: 0.2500 0.2500 0.2500 [8 per cell]  4 Ce 3.30, 4 Al 3.30
Al: 0.0000 0.0000 0.5000 [4 per cell]  8 Pm 3.30

Output
Its energy above the most stable polymorph in this dataset is 141 meV per atom. Its density of states at the Fermi level is 27.11 states/eV per cell.